## TbGa2Ag (GGA-PBE)

Data for TbGa2Ag after structural relaxation.

**Energy relative to the elements**: -2.1 eV per formula unit

Structure (CIF):
```
data_TbGa2Ag
_cell_length_a 6.988
_cell_length_b 4.374
_cell_length_c 10.263
_cell_angle_alpha 90.00
_cell_angle_beta 90.00
_cell_angle_gamma 90.00
_space_group_name_H-M_alt 'P 1'
_space_group_IT_number 1
loop_
_space_group_symop_operation_xyz
'x,y,z'
loop_
_atom_site_label
_atom_site_fract_x
_atom_site_fract_y
_atom_site_fract_z
_atom_site_occupancy
Tb1 0.219 0.250 0.175 1
Tb2 0.281 0.750 0.675 1
Tb3 0.719 0.250 0.325 1
Tb4 0.781 0.750 0.825 1
Ga1 0.073 0.250 0.845 1
Ga2 0.201 0.750 0.965 1
Ga3 0.299 0.250 0.465 1
Ga4 0.427 0.750 0.345 1
Ga5 0.573 0.250 0.655 1
Ga6 0.701 0.750 0.535 1
Ga7 0.799 0.250 0.035 1
Ga8 0.927 0.750 0.155 1
Ag1 0.045 0.750 0.405 1
Ag2 0.455 0.250 0.905 1
Ag3 0.545 0.750 0.095 1
Ag4 0.955 0.250 0.595 1
```

## Ca5Ge3O (GGA-PBE)

Data for Ca5Ge3O after structural relaxation.

**E_form (uncorrected)**: -1081.6 meV per atom

Structure (CIF):
```
data_Ca5Ge3O
_cell_length_a 9.229
_cell_length_b 9.229
_cell_length_c 9.229
_cell_angle_alpha 130.09
_cell_angle_beta 130.09
_cell_angle_gamma 73.26
_space_group_name_H-M_alt 'P 1'
_space_group_IT_number 1
loop_
_space_group_symop_operation_xyz
'x,y,z'
loop_
_atom_site_label
_atom_site_fract_x
_atom_site_fract_y
_atom_site_fract_z
_atom_site_occupancy
Ca1 0.000 0.000 0.000 1
Ca2 0.001 0.501 0.185 1
Ca3 0.185 0.999 0.500 1
Ca4 0.315 0.815 0.815 1
Ca5 0.499 0.685 0.500 1
Ca6 0.500 0.500 0.000 1
Ca7 0.501 0.315 0.500 1
Ca8 0.685 0.185 0.185 1
Ca9 0.815 0.001 0.500 1
Ca10 0.999 0.499 0.815 1
Ge1 0.114 0.386 0.500 1
Ge2 0.250 0.250 0.000 1
Ge3 0.386 0.886 0.272 1
Ge4 0.614 0.114 0.728 1
Ge5 0.750 0.750 0.000 1
Ge6 0.886 0.614 0.500 1
O1 0.250 0.750 0.500 1
O2 0.750 0.250 0.500 1
```

## SnOsIBr2 (GGA-PBE)

Data for SnOsIBr2 after structural relaxation.

**E_form (uncorrected)**: 1630.2 meV per atom

Structure (CIF):
```
data_SnOsIBr2
_cell_length_a 5.644
_cell_length_b 5.644
_cell_length_c 6.249
_cell_angle_alpha 90.00
_cell_angle_beta 90.00
_cell_angle_gamma 90.00
_space_group_name_H-M_alt 'P 1'
_space_group_IT_number 1
loop_
_space_group_symop_operation_xyz
'x,y,z'
loop_
_atom_site_label
_atom_site_fract_x
_atom_site_fract_y
_atom_site_fract_z
_atom_site_occupancy
Sn1 0.000 0.000 0.000 1
Os1 0.500 0.500 0.000 1
I1 0.000 0.000 0.500 1
Br1 0.000 0.500 0.500 1
Br2 0.500 0.000 0.500 1
```

## RbCu3Br6 (GGA-PBE)

Data for RbCu3Br6 after structural relaxation.

**E_form (uncorrected)**: -554.4 meV per atom

Structure (CIF):
```
data_RbCu3Br6
_cell_length_a 10.265
_cell_length_b 10.265
_cell_length_c 10.265
_cell_angle_alpha 122.59
_cell_angle_beta 91.93
_cell_angle_gamma 115.32
_space_group_name_H-M_alt 'P 1'
_space_group_IT_number 1
loop_
_space_group_symop_operation_xyz
'x,y,z'
loop_
_atom_site_label
_atom_site_fract_x
_atom_site_fract_y
_atom_site_fract_z
_atom_site_occupancy
Rb1 0.250 0.250 0.000 1
Rb2 0.750 0.750 0.000 1
Cu1 0.198 0.611 0.809 1
Cu2 0.250 0.750 0.500 1
Cu3 0.302 0.111 0.413 1
Cu4 0.698 0.889 0.587 1
Cu5 0.750 0.250 0.500 1
Cu6 0.802 0.389 0.191 1
Br1 0.064 0.501 0.226 1
Br2 0.150 0.041 0.190 1
Br3 0.225 0.999 0.563 1
Br4 0.275 0.838 0.774 1
Br5 0.350 0.541 0.891 1
Br6 0.436 0.662 0.437 1
Br7 0.564 0.338 0.563 1
Br8 0.650 0.459 0.109 1
Br9 0.725 0.162 0.226 1
Br10 0.775 0.001 0.437 1
Br11 0.850 0.959 0.810 1
Br12 0.936 0.499 0.774 1
```

## Tm3Tl2 (GGA-PBE)

Data for Tm3Tl2 after structural relaxation.

**Energy above the most stable polymorph in this dataset**: 0 kJ/mol of formula units
**Energy relative to the elements**: -1.3 eV per formula unit

Structure (CIF):
```
data_Tm3Tl2
_cell_length_a 11.141
_cell_length_b 11.141
_cell_length_c 11.141
_cell_angle_alpha 161.65
_cell_angle_beta 161.65
_cell_angle_gamma 26.06
_space_group_name_H-M_alt 'P 1'
_space_group_IT_number 1
loop_
_space_group_symop_operation_xyz
'x,y,z'
loop_
_atom_site_label
_atom_site_fract_x
_atom_site_fract_y
_atom_site_fract_z
_atom_site_occupancy
Tm1 0.000 0.000 0.000 1
Tm2 0.194 0.194 0.000 1
Tm3 0.806 0.806 0.000 1
Tl1 0.403 0.403 0.000 1
Tl2 0.597 0.597 0.000 1
```

## Li2TmTl (GGA-PBE)

Data for Li2TmTl after structural relaxation.

**Energy above the most stable polymorph in this dataset**: 42 kJ/mol of formula units
**Energy relative to the elements**: -0.4 eV per formula unit

Structure (CIF):
```
data_Li2TmTl
_cell_length_a 4.497
_cell_length_b 4.497
_cell_length_c 4.516
_cell_angle_alpha 90.00
_cell_angle_beta 90.00
_cell_angle_gamma 90.00
_space_group_name_H-M_alt 'P 1'
_space_group_IT_number 1
loop_
_space_group_symop_operation_xyz
'x,y,z'
loop_
_atom_site_label
_atom_site_fract_x
_atom_site_fract_y
_atom_site_fract_z
_atom_site_occupancy
Li1 0.000 0.500 0.000 1
Li2 0.500 0.000 0.000 1
Tm1 0.000 0.000 0.500 1
Tl1 0.500 0.500 0.500 1
```

## Fe2Pd5Pt4 (GGA-PBE)

Data for Fe2Pd5Pt4 after structural relaxation.

**Energy relative to the elements**: -0.8 eV per formula unit

Structure (CIF):
```
data_Fe2Pd5Pt4
_cell_length_a 6.942
_cell_length_b 2.737
_cell_length_c 8.862
_cell_angle_alpha 90.00
_cell_angle_beta 94.43
_cell_angle_gamma 90.00
_space_group_name_H-M_alt 'P 1'
_space_group_IT_number 1
loop_
_space_group_symop_operation_xyz
'x,y,z'
loop_
_atom_site_label
_atom_site_fract_x
_atom_site_fract_y
_atom_site_fract_z
_atom_site_occupancy
Fe1 0.069 0.000 0.136 1
Fe2 0.931 0.000 0.864 1
Pd1 0.175 0.000 0.657 1
Pd2 0.443 0.000 0.189 1
Pd3 0.500 0.000 0.500 1
Pd4 0.557 0.000 0.811 1
Pd5 0.825 0.000 0.343 1
Pt1 0.181 0.500 0.379 1
Pt2 0.255 0.500 0.936 1
Pt3 0.745 0.500 0.064 1
Pt4 0.819 0.500 0.621 1
```

## Tm2Zn5PdRu2 (GGA-PBE)

Data for Tm2Zn5PdRu2 after structural relaxation.

**Energy relative to the elements**: -3.0 eV per formula unit

Structure (CIF):
```
data_Tm2Zn5PdRu2
_cell_length_a 9.431
_cell_length_b 9.431
_cell_length_c 3.871
_cell_angle_alpha 90.00
_cell_angle_beta 90.00
_cell_angle_gamma 90.00
_space_group_name_H-M_alt 'P 1'
_space_group_IT_number 1
loop_
_space_group_symop_operation_xyz
'x,y,z'
loop_
_atom_site_label
_atom_site_fract_x
_atom_site_fract_y
_atom_site_fract_z
_atom_site_occupancy
Tm1 0.174 0.326 0.000 1
Tm2 0.326 0.826 0.000 1
Tm3 0.674 0.174 0.000 1
Tm4 0.826 0.674 0.000 1
Zn1 0.000 0.500 0.500 1
Zn2 0.058 0.804 0.500 1
Zn3 0.196 0.058 0.500 1
Zn4 0.304 0.558 0.500 1
Zn5 0.442 0.304 0.500 1
Zn6 0.500 0.000 0.500 1
Zn7 0.558 0.696 0.500 1
Zn8 0.696 0.442 0.500 1
Zn9 0.804 0.942 0.500 1
Zn10 0.942 0.196 0.500 1
Pd1 0.000 0.000 0.000 1
Pd2 0.500 0.500 0.000 1
Ru1 0.127 0.627 0.000 1
Ru2 0.373 0.127 0.000 1
Ru3 0.627 0.873 0.000 1
Ru4 0.873 0.373 0.000 1
```

## La4PIr (GGA-PBE)

Data for La4PIr after structural relaxation.

**Energy relative to the elements**: 2.8 eV per formula unit

Structure (CIF):
```
data_La4PIr
_cell_length_a 6.132
_cell_length_b 6.132
_cell_length_c 6.132
_cell_angle_alpha 60.00
_cell_angle_beta 60.00
_cell_angle_gamma 60.00
_space_group_name_H-M_alt 'P 1'
_space_group_IT_number 1
loop_
_space_group_symop_operation_xyz
'x,y,z'
loop_
_atom_site_label
_atom_site_fract_x
_atom_site_fract_y
_atom_site_fract_z
_atom_site_occupancy
La1 0.125 0.125 0.125 1
La2 0.125 0.125 0.625 1
La3 0.125 0.625 0.125 1
La4 0.625 0.125 0.125 1
P1 0.750 0.750 0.750 1
Ir1 0.500 0.500 0.500 1
```

## PaAl11Ni (GGA-PBE)

Data for PaAl11Ni after structural relaxation.

**Energy relative to the elements**: -2.2 eV per formula unit

Structure (CIF):
```
data_PaAl11Ni
_cell_length_a 6.795
_cell_length_b 6.795
_cell_length_c 7.001
_cell_angle_alpha 97.40
_cell_angle_beta 97.40
_cell_angle_gamma 134.93
_space_group_name_H-M_alt 'P 1'
_space_group_IT_number 1
loop_
_space_group_symop_operation_xyz
'x,y,z'
loop_
_atom_site_label
_atom_site_fract_x
_atom_site_fract_y
_atom_site_fract_z
_atom_site_occupancy
Pa1 0.000 0.000 0.000 1
Al1 0.000 0.000 0.500 1
Al2 0.000 0.500 0.000 1
Al3 0.010 0.357 0.357 1
Al4 0.290 0.501 0.777 1
Al5 0.357 0.010 0.357 1
Al6 0.499 0.710 0.223 1
Al7 0.500 0.000 0.000 1
Al8 0.501 0.290 0.777 1
Al9 0.643 0.990 0.643 1
Al10 0.710 0.499 0.223 1
Al11 0.990 0.643 0.643 1
Ni1 0.500 0.500 0.500 1
```

Number 5 is which compound? Tm3Tl2